Ho2CuOs | PBE | relaxed

abc: 6.8310 6.8310 6.8310
angles: 90.00 90.00 90.00
Last column: nearest neighbours and their distance in Å.
Space group Fm-3m (No. 225)
Asymmetric unit:
Ho1 0.2500 0.2500 0.2500 x8  4 Os 2.96, 4 Cu 2.96
Cu1 0.0000 0.0000 0.0000 x4  8 Ho 2.96
Os1 0.0000 0.0000 0.5000 x4  8 Ho 2.96

Results
- Magnetic moment: 0.00 μB per cell
- DOS(E_F): 13.566 states/eV/cell
- Energy relative to the elements: -0.29 eV per atom

***

TiGe2O6 | PBE | relaxed

abc: 10.1273 8.9938 5.6127
angles: 90.00 109.84 90.00
Last column: nearest neighbours and their distance in Å.
Space group C2/c (No. 15)
Asymmetric unit:
Ti1 0.0000 0.1040 0.2500 x4  4 O 1.84-2.03
Ge1 0.2062 0.4150 0.2599 x8  4 O 1.75-1.79
O1 0.1071 0.0666 0.6229 x8  1 Ge 1.79
O2 0.1352 0.4743 0.9445 x8  2 Ge 1.75-1.76
O3 0.1405 0.2321 0.2469 x8  1 Ge 1.77, 1 Ti 1.84

Results
- Excess energy over the best structure of this formula in the dataset: 0 meV/atom
- Magnetic moment: 0.00 μB per cell
- DOS(E_F): 0.000 states/eV/cell
- Raw formation energy: -1799 kJ/mol of formula units

***

La2ScZn2 | PBE | relaxed

abc: 8.6426 8.6426 3.6094
angles: 90.00 90.00 90.00
Last column: nearest neighbours and their distance in Å.
Space group P4/mbm (No. 127)
Asymmetric unit:
La1 0.1513 0.3487 0.0000 x4  6 Zn 3.04-3.16, 2 Sc 3.29
Sc1 0.0000 0.0000 0.0000 x2  4 La 3.29, 2 Sc 3.61
Zn1 0.1484 0.6484 0.5000 x4  6 La 3.04-3.16

Results
- Excess energy over the best structure of this formula in the dataset: 170 meV/atom
- Magnetic moment: 0.00 μB per cell
- DOS(E_F): 10.339 states/eV/cell
- Energy relative to the elements: 0.01 eV per atom

***

Sb2RuPt | PBE | relaxed

abc: 3.0997 4.0328 12.8471
angles: 90.00 90.00 90.00
Last column: nearest neighbours and their distance in Å.
Space group Imm2 (No. 44)
Asymmetric unit:
Sb1 0.0000 0.0000 0.0000 x2  4 Ru 2.67, 2 Pt 2.76
Sb2 0.0000 0.5000 0.2401 x2  2 Ru 2.74, 4 Pt 2.93
Ru1 0.0000 0.0000 0.5640 x2  6 Sb 2.67-2.74
Pt1 0.0000 0.5000 0.8527 x2  6 Sb 2.76-2.93

Results
- Excess energy over the best structure of this formula in the dataset: 95 meV/atom
- Magnetic moment: 0.00 μB per cell
- DOS(E_F): 4.331 states/eV/cell
- Raw formation energy: -17 kJ/mol of formula units

***

Tm4NiRh3 | PBE | relaxed

abc: 3.3170 4.8051 9.6059
angles: 90.00 90.00 90.00
Last column: nearest neighbours and their distance in Å.
Space group Pmmm (No. 47)
Asymmetric unit:
Tm1 0.0000 0.0000 0.0000 x1  4 Rh 2.92, 4 Ni 2.92
Tm2 0.0000 0.0000 0.5000 x1  8 Rh 2.92
Tm3 0.0000 0.5000 0.2476 x2  2 Ni 2.90, 6 Rh 2.92-2.94
Ni1 0.5000 0.5000 0.0000 x1  8 Tm 2.90-2.92
Rh1 0.5000 0.0000 0.2497 x2  8 Tm 2.92
Rh2 0.5000 0.5000 0.5000 x1  8 Tm 2.92-2.94

Results
- Magnetic moment: 0.00 μB per cell
- DOS(E_F): 3.581 states/eV/cell
- Energy relative to the elements: -0.84 eV per atom

***

Cd2Se | PBE | relaxed

abc: 6.9175 6.9175 6.9175
angles: 90.00 90.00 90.00
Last column: nearest neighbours and their distance in Å.
Space group Fm-3m (No. 225)
Asymmetric unit:
Cd1 0.2500 0.2500 0.2500 x8  4 Se 3.00
Se1 0.0000 0.0000 0.0000 x4  8 Cd 3.00

Results
- Excess energy over the best structure of this formula in the dataset: 222 meV/atom
- Magnetic moment: 0.00 μB per cell
- DOS(E_F): 3.456 states/eV/cell
- Raw formation energy: -12 kJ/mol of formula units

***

PbAuS2Cl | PBE | relaxed

abc: 5.1828 5.1828 5.3002
angles: 90.00 90.00 90.00
Last column: nearest neighbours and their distance in Å.
Space group P4/mmm (No. 123)
Asymmetric unit:
Pb1 0.0000 0.0000 0.0000 x1  4 S 2.59, 2 Cl 2.65
Au1 0.5000 0.5000 0.5000 x1  4 Cl 3.66, 8 S 3.71
S1 0.0000 0.5000 0.0000 x2  2 Pb 2.59
Cl1 0.0000 0.0000 0.5000 x1  2 Pb 2.65

Results
- Excess energy over the best structure of this formula in the dataset: 549 meV/atom
- Magnetic moment: 0.00 μB per cell
- DOS(E_F): 5.666 states/eV/cell
- Raw formation energy: 280 kJ/mol of formula units

***

Y2AlSe4 | PBE | relaxed

abc: 14.2696 4.0075 7.1063
angles: 90.00 119.17 90.00
Last column: nearest neighbours and their distance in Å.
Space group C2/m (No. 12)
Asymmetric unit:
Y1 0.2322 0.0000 0.2192 x4  6 Se 2.82-2.96
Al1 0.0000 0.5000 0.5000 x2  6 Se 2.62-2.72
Se1 0.1097 0.5000 0.9220 x4  1 Al 2.62, 3 Y 2.82-2.88
Se2 0.1211 0.0000 0.4696 x4  2 Al 2.72, 3 Y 2.90-2.96

Results
- Magnetic moment: 0.00 μB per cell
- DOS(E_F): 6.692 states/eV/cell
- Raw formation energy: -954 kJ/mol of formula units